1.
First-principles (GGA-PBE) data for LaPuAsCl after structural relaxation, as listed in Alexandria via LeMat-Bulk.

Cell lengths 5.1567, 5.1567, 5.1567 Å; angles 60.00, 60.00, 60.00 degrees
Sites, in units of the cell vectors:
Cl 0.7500 0.7500 0.7500
As 0.2500 0.2500 0.2500
La 0.5000 0.5000 0.5000
Pu 0.0000 0.0000 0.0000

Calculated values
* size of the total moment: 6.7 μB/cell
* raw total energy: -7.6535 eV/atom
* energy relative to the elements, uncorrected: -1.21 eV per atom

2.
First-principles (GGA-PBE) data for LaReAs2Cl after structural relaxation, as listed in Alexandria via LeMat-Bulk.

Cell lengths 4.8255, 5.0340, 4.8255 Å; angles 90.00, 90.00, 90.00 degrees
Sites, in units of the cell vectors:
Re 0.0000 0.0000 0.0000
As 0.0000 0.0000 0.5000
As 0.5000 0.0000 0.0000
Cl 0.0000 0.5000 0.0000
La 0.5000 0.5000 0.5000

Calculated values
* size of the total moment: 0.0 μB/cell
* raw total energy: -5.9680 eV/atom
* energy relative to the elements, uncorrected: -0.26 eV per atom

3.
First-principles (GGA-PBE) data for La6AsRh2Cl3 after structural relaxation, as listed in Alexandria via LeMat-Bulk.

Cell lengths 7.3732, 7.3732, 7.7043 Å; angles 99.20, 99.20, 119.94 degrees
Sites, in units of the cell vectors:
La 0.9268 0.5788 0.7822
La 0.7241 0.7241 0.2166
La 0.0732 0.4212 0.2178
La 0.5788 0.9268 0.7822
La 0.2759 0.2759 0.7834
La 0.4212 0.0732 0.2178
As 0.0000 0.0000 0.0000
Rh 0.3327 0.6673 0.0000
Rh 0.6673 0.3327 0.0000
Cl 0.1585 0.8415 0.5000
Cl 0.8415 0.1585 0.5000
Cl 0.5000 0.5000 0.5000

Calculated values
* size of the total moment: 0.0 μB/cell
* raw total energy: -5.8858 eV/atom
* energy relative to the elements, uncorrected: -1.35 eV per atom

4.
First-principles (GGA-PBE) data for LaAsRh2Cl after structural relaxation, as listed in Alexandria via LeMat-Bulk.

Cell lengths 4.5334, 5.9755, 4.5334 Å; angles 90.00, 90.00, 90.00 degrees
Sites, in units of the cell vectors:
As 0.0000 0.0000 0.0000
Cl 0.5000 0.5000 0.5000
Rh 0.0000 0.0000 0.5000
Rh 0.5000 0.0000 0.0000
La 0.0000 0.5000 0.0000

Calculated values
* size of the total moment: 0.0 μB/cell
* raw total energy: -5.6259 eV/atom
* energy relative to the elements, uncorrected: -0.40 eV per atom

5.
First-principles (GGA-PBE) data for La6As2RuCl3 after structural relaxation, as listed in Alexandria via LeMat-Bulk.

Cell lengths 4.2369, 8.7953, 9.5104 Å; angles 101.73, 102.87, 90.00 degrees
Sites, in units of the cell vectors:
La 0.3485 0.9101 0.6971
La 0.6705 0.5761 0.3411
La 0.6515 0.0899 0.3029
La 0.9994 0.2272 0.9989
La 0.0006 0.7728 0.0011
La 0.3295 0.4239 0.6589
As 0.8360 0.6628 0.6720
As 0.1640 0.3372 0.3280
Ru 0.5000 0.0000 0.0000
Cl 0.5000 0.5000 0.0000
Cl 0.8264 0.1623 0.6528
Cl 0.1736 0.8377 0.3472

Calculated values
* size of the total moment: 0.0 μB/cell
* raw total energy: -5.9037 eV/atom
* energy relative to the elements, uncorrected: -1.43 eV per atom

6.
First-principles (GGA-PBE) data for La8AsRu3Cl4 after structural relaxation, as listed in Alexandria via LeMat-Bulk.

Cell lengths 8.4694, 8.9389, 8.4691 Å; angles 118.27, 120.00, 90.00 degrees
Sites, in units of the cell vectors:
La 0.2438 0.7050 0.9626
La 0.2431 0.7024 0.4861
La 0.2615 0.2838 0.5230
La 0.7188 0.7050 0.9626
La 0.2812 0.2950 0.0374
La 0.7385 0.7162 0.4770
La 0.7569 0.2976 0.5139
La 0.7562 0.2950 0.0374
As 0.0000 0.5000 0.0000
Ru 0.5000 0.5000 0.0000
Ru 0.5000 0.5000 0.5000
Ru 0.0000 0.5000 0.5000
Cl 0.5000 0.0000 0.0000
Cl 0.5000 0.0000 0.5000
Cl 0.0000 0.0000 0.0000
Cl 0.0000 0.0000 0.5000

Calculated values
* size of the total moment: 0.0 μB/cell
* raw total energy: -6.1545 eV/atom
* energy relative to the elements, uncorrected: -1.20 eV per atom

7.
First-principles (GGA-PBE) data for La4AsRuCl2 after structural relaxation, as listed in Alexandria via LeMat-Bulk.

Cell lengths 4.1955, 7.5916, 7.5533 Å; angles 106.74, 90.00, 90.00 degrees
Sites, in units of the cell vectors:
La 0.5000 0.2247 0.2170
La 0.5000 0.7753 0.7830
La 0.0000 0.2398 0.7864
La 0.0000 0.7602 0.2136
As 0.5000 0.5000 0.0000
Ru 0.0000 0.0000 0.0000
Cl 0.5000 0.0000 0.5000
Cl 0.0000 0.5000 0.5000

Calculated values
* size of the total moment: 0.0 μB/cell
* raw total energy: -5.9827 eV/atom
* energy relative to the elements, uncorrected: -1.32 eV per atom

8.
First-principles (GGA-PBE) data for La6As3S2Cl after structural relaxation, as listed in Alexandria via LeMat-Bulk.

Cell lengths 4.2910, 8.5263, 9.5313 Å; angles 102.02, 103.01, 90.00 degrees
Sites, in units of the cell vectors:
La 0.3283 0.9097 0.6566
La 0.6685 0.5817 0.3371
La 0.6717 0.0903 0.3434
La 0.0023 0.2614 0.0046
La 0.9977 0.7386 0.9954
La 0.3315 0.4183 0.6629
As 0.5000 0.5000 0.0000
As 0.8362 0.1654 0.6723
As 0.1638 0.8346 0.3277
S 0.8335 0.6673 0.6670
S 0.1665 0.3327 0.3330
Cl 0.5000 0.0000 0.0000

Calculated values
* size of the total moment: 0.0 μB/cell
* raw total energy: -6.2902 eV/atom
* energy relative to the elements, uncorrected: -1.82 eV per atom